A plane-wave DFT calculation with GGA+U was carried out for crystalline MoCO2 at its relaxed geometry.

a = 4.8257 Å, b = 4.8257 Å, c = 8.7590 Å
α = 90.00°, β = 90.00°, γ = 90.00°
Space group I-42d (No. 122)
Inequivalent atoms, fractional coordinates:
Mo1 0.0000 0.0000 0.0000 (multiplicity 4)
C1 0.0000 0.0000 0.5000 (multiplicity 4)
O1 0.1676 0.2500 0.6250 (multiplicity 8)

Output
**Theoretical density**: 4.56 g/cm3
**V**: 203.98 Å³ per cell
**VASP energy**: -5.628 eV per atom